1.
Entry from the Alexandria database: a relaxed Sm8In2Ag crystal (PBE).

It has space group C2/m (No. 12), with a = 18.264 Å, b = 5.354 Å, c = 6.896 Å, α = 90.00°, β = 93.85° and γ = 90.00°. Symmetry generates all atoms from Sm at (0.032, 0.000, 0.261), Sm at (0.091, 0.500, 0.911), Sm at (0.169, 0.500, 0.408), Sm at (0.212, 0.000, 0.106), In at (0.153, 0.000, 0.659) and Ag at (0.000, 0.500, 0.500).

For the total energy, the calculation gives -4.403 eV per atom. As for the theoretical density: 7.60 g/cm3. For the formation energy, the calculation gives -0.21 eV/atom.

2.
Entry from the Alexandria database: a relaxed SmIn2Ag6 crystal (PBE).

It has space group Immm (No. 71), with a = 3.434 Å, b = 8.164 Å, c = 13.982 Å, α = 90.00°, β = 90.00° and γ = 90.00°. Symmetry generates all atoms from Sm at (0.000, 0.000, 0.000), In at (0.000, 0.500, 0.146), Ag at (0.000, 0.172, 0.500) and Ag at (0.000, 0.326, 0.324).

For the total energy, the calculation gives -3.076 eV per atom. As for the theoretical density: 8.70 g/cm3. For the formation energy, the calculation gives -0.04 eV/atom.

3.
Entry from the Alexandria database: a relaxed Sm5InAg crystal (PBE).

It has space group C2/c (No. 15), with a = 9.028 Å, b = 9.294 Å, c = 10.510 Å, α = 90.00°, β = 91.72° and γ = 90.00°. Symmetry generates all atoms from Sm at (0.000, 0.138, 0.250), Sm at (0.169, 0.222, 0.663), Sm at (0.172, 0.406, 0.001), In at (0.000, 0.482, 0.250) and Ag at (0.000, 0.000, 0.000).

For the total energy, the calculation gives -4.228 eV per atom. As for the theoretical density: 7.34 g/cm3. For the formation energy, the calculation gives -0.06 eV/atom.

4.
Entry from the Alexandria database: a relaxed SmIn2Ag3 crystal (PBE).

It has space group C2/m (No. 12), with a = 17.390 Å, b = 4.717 Å, c = 6.699 Å, α = 90.00°, β = 103.09° and γ = 90.00°. Symmetry generates all atoms from Sm at (0.118, 0.000, 0.154), In at (0.016, 0.500, 0.794), In at (0.232, 0.000, 0.660), Ag at (0.070, 0.000, 0.657), Ag at (0.130, 0.500, 0.494) and Ag at (0.195, 0.500, 0.921).

For the total energy, the calculation gives -3.367 eV per atom. As for the theoretical density: 8.73 g/cm3. For the formation energy, the calculation gives -0.24 eV/atom.